(1)
A plane-wave DFT calculation with meta-GGA SCAN was carried out for UTcC2 at its PBEsol-relaxed geometry.

DFT formation energy: -147 meV/atom
mass density: 12.68 g/cm³

```
UTcC2
1.0
3.112 0.000 0.000
0.000 5.539 0.000
0.000 0.000 10.945
U Tc C
4 4 8
direct
0.750 0.417 0.642
0.750 0.917 0.858
0.250 0.583 0.358
0.250 0.083 0.142
0.750 0.081 0.397
0.750 0.581 0.103
0.250 0.919 0.603
0.250 0.419 0.897
0.750 0.337 0.255
0.750 0.837 0.245
0.250 0.663 0.745
0.250 0.163 0.755
0.750 0.757 0.507
0.750 0.257 0.993
0.250 0.243 0.493
0.250 0.743 0.007
```



(2)
A plane-wave DFT calculation with meta-GGA SCAN was carried out for TcW3C at its PBEsol-relaxed geometry.

DFT formation energy: 318 meV/atom
mass density: 15.95 g/cm³

```
TcW3C
1.0
-2.962 -2.488 -1.357
2.309 -3.257 0.931
-1.643 -0.092 3.754
C Tc W
1 1 3
direct
0.000 0.000 0.000
0.500 0.500 0.500
0.000 0.500 0.000
0.000 0.000 0.500
0.500 0.000 0.000
```



(3)
A plane-wave DFT calculation with meta-GGA SCAN was carried out for Y3TcC at its PBEsol-relaxed geometry.

DFT formation energy: 1256 meV/atom
mass density: 4.70 g/cm³

```
Y3TcC
1.0
-3.935 3.078 1.051
-1.176 0.191 -4.964
-3.032 -4.069 0.562
Y C Tc
3 1 1
direct
0.000 0.500 0.000
0.000 0.000 0.500
0.500 0.000 0.000
0.500 0.500 0.500
0.000 0.000 0.000
```



(4)
A plane-wave DFT calculation with meta-GGA SCAN was carried out for Te8C at its PBEsol-relaxed geometry.

ΔE_f (raw): 0.850 eV per atom
mass density: 7.34 g/cm³

```
Te8C
1.0
-0.973 -3.387 0.771
7.217 -3.606 1.705
-1.317 0.309 8.134
C Te
1 8
direct
0.000 0.000 0.000
0.369 0.000 0.263
0.631 0.000 0.737
0.670 0.330 0.330
0.369 0.263 0.000
0.000 0.330 0.670
0.631 0.737 0.000
0.330 0.670 0.670
0.000 0.670 0.330
```



(5)
A plane-wave DFT calculation with meta-GGA SCAN was carried out for TeC at its PBEsol-relaxed geometry.

ΔE_f (raw): 1.799 eV per atom
mass density: 5.80 g/cm³
energy relative to the lowest polymorph listed for this composition: 0.267 eV/atom

```
TeC
1.0
-3.005 1.230 0.645
-0.579 -4.595 -2.428
0.928 -1.618 7.405
C Te
3 3
direct
0.055 0.109 0.071
0.404 0.809 0.740
0.354 0.707 0.178
0.586 0.173 0.259
0.948 0.895 0.599
0.820 0.640 0.987
```



(6)
A plane-wave DFT calculation with meta-GGA SCAN was carried out for TeC at its PBEsol-relaxed geometry.

ΔE_f (raw): 1.532 eV per atom
mass density: 6.41 g/cm³
energy relative to the lowest polymorph listed for this composition: 0.000 eV/atom

```
TeC
1.0
-3.538 -1.722 0.915
1.399 -3.563 -1.296
1.491 -0.897 4.077
C Te
2 2
direct
0.000 0.000 0.000
0.500 0.500 0.000
0.000 0.500 0.215
0.500 0.000 0.785
```



(7)
A plane-wave DFT calculation with meta-GGA SCAN was carried out for Te2C at its PBEsol-relaxed geometry.

ΔE_f (raw): 1.712 eV per atom
mass density: 7.25 g/cm³
energy relative to the lowest polymorph listed for this composition: 0.446 eV/atom

```
Te2C
1.0
-1.674 -0.865 -2.598
0.349 -4.193 1.171
-3.709 0.328 2.281
C Te
1 2
direct
0.500 0.000 0.000
0.000 0.000 0.500
0.000 0.500 0.000
```



(8)
A plane-wave DFT calculation with meta-GGA SCAN was carried out for Te3C4 at its PBEsol-relaxed geometry.

ΔE_f (raw): 2.327 eV per atom
mass density: 5.86 g/cm³
energy relative to the lowest polymorph listed for this composition: 0.471 eV/atom

```
Te3C4
1.0
-4.845 -1.057 0.146
-0.112 -0.173 -4.957
1.061 -4.844 0.145
C Te
4 3
direct
0.225 0.775 0.225
0.775 0.225 0.225
0.775 0.775 0.775
0.225 0.225 0.775
0.500 0.000 0.500
0.500 0.500 0.000
0.000 0.500 0.500
```



(9)
A plane-wave DFT calculation with meta-GGA SCAN was carried out for TeC at its PBEsol-relaxed geometry.

ΔE_f (raw): 2.367 eV per atom
mass density: 6.74 g/cm³
energy relative to the lowest polymorph listed for this composition: 0.835 eV/atom

```
TeC
1.0
4.690 0.000 0.000
0.000 4.690 0.000
0.000 0.000 4.690
C Te
3 3
direct
0.500 0.000 0.500
0.500 0.500 0.000
0.000 0.500 0.500
0.000 0.500 0.000
0.000 0.000 0.500
0.500 0.000 0.000
```



(10)
A plane-wave DFT calculation with meta-GGA SCAN was carried out for Te2C at its PBEsol-relaxed geometry.

ΔE_f (raw): 1.368 eV per atom
mass density: 7.04 g/cm³
energy relative to the lowest polymorph listed for this composition: 0.103 eV/atom

```
Te2C
1.0
-1.932 2.534 0.890
0.851 -2.293 2.227
10.779 7.097 3.188
C Te
2 4
direct
0.000 0.000 0.000
0.000 0.000 0.500
0.667 0.333 0.884
0.333 0.667 0.384
0.667 0.333 0.616
0.333 0.667 0.116
```



(11)
A plane-wave DFT calculation with meta-GGA SCAN was carried out for TeC2 at its PBEsol-relaxed geometry.

ΔE_f (raw): 3.187 eV per atom
mass density: 7.10 g/cm³
energy relative to the lowest polymorph listed for this composition: 1.567 eV/atom

```
TeC2
1.0
4.065 0.000 0.000
-2.033 3.521 0.000
0.000 0.000 4.953
C Te
4 2
direct
0.000 0.000 0.000
0.000 0.000 0.500
0.667 0.333 0.750
0.333 0.667 0.250
0.333 0.667 0.750
0.667 0.333 0.250
```



(12)
A plane-wave DFT calculation with meta-GGA SCAN was carried out for TeC2 at its PBEsol-relaxed geometry.

ΔE_f (raw): 1.951 eV per atom
mass density: 4.65 g/cm³
energy relative to the lowest polymorph listed for this composition: 0.331 eV/atom

```
TeC2
1.0
-0.141 -1.620 3.890
3.747 1.109 -1.584
-1.621 3.839 -0.643
C Te
2 1
direct
0.000 0.610 0.610
0.000 0.390 0.390
0.000 0.000 0.000
```



(13)
A plane-wave DFT calculation with meta-GGA SCAN was carried out for TeC2 at its PBEsol-relaxed geometry.

ΔE_f (raw): 2.657 eV per atom
mass density: 7.06 g/cm³
energy relative to the lowest polymorph listed for this composition: 1.037 eV/atom

```
TeC2
1.0
-3.096 -1.039 -0.496
2.196 -1.989 1.461
-1.001 1.371 3.371
C Te
2 1
direct
0.333 0.667 0.657
0.667 0.333 0.343
0.000 0.000 0.000
```



(14)
A plane-wave DFT calculation with meta-GGA SCAN was carried out for TeC at its PBEsol-relaxed geometry.

ΔE_f (raw): 1.807 eV per atom
mass density: 6.53 g/cm³
energy relative to the lowest polymorph listed for this composition: 0.275 eV/atom

```
TeC
1.0
-5.232 1.022 -2.301
-3.233 -1.434 -4.604
-4.930 -2.761 -1.334
C Te
2 2
direct
0.887 0.887 0.887
0.113 0.113 0.113
0.751 0.751 0.751
0.249 0.249 0.249
```



(15)
A plane-wave DFT calculation with meta-GGA SCAN was carried out for TeC2 at its PBEsol-relaxed geometry.

ΔE_f (raw): 1.620 eV per atom
mass density: 6.10 g/cm³
energy relative to the lowest polymorph listed for this composition: 0.000 eV/atom

```
TeC2
1.0
3.396 0.000 0.000
-1.698 2.941 0.000
0.000 0.000 4.134
C Te
2 1
direct
0.333 0.667 0.160
0.333 0.667 0.840
0.000 0.000 0.500
```



(16)
A plane-wave DFT calculation with meta-GGA SCAN was carried out for TeC at its PBEsol-relaxed geometry.

ΔE_f (raw): 1.988 eV per atom
mass density: 5.86 g/cm³
energy relative to the lowest polymorph listed for this composition: 0.457 eV/atom

```
TeC
1.0
-2.790 1.577 -2.090
-3.641 -1.014 0.594
-2.435 2.471 1.613
C Te
1 1
direct
0.000 0.000 0.000
0.250 0.250 0.250
```



(17)
A plane-wave DFT calculation with meta-GGA SCAN was carried out for Te2C at its PBEsol-relaxed geometry.

ΔE_f (raw): 1.374 eV per atom
mass density: 7.36 g/cm³
energy relative to the lowest polymorph listed for this composition: 0.108 eV/atom

```
Te2C
1.0
-0.115 -2.487 2.175
1.081 -0.544 -3.076
5.945 1.343 1.851
C Te
1 2
direct
0.000 0.000 0.000
0.333 0.667 0.242
0.667 0.333 0.758
```



(18)
A plane-wave DFT calculation with meta-GGA SCAN was carried out for Te3C4 at its PBEsol-relaxed geometry.

ΔE_f (raw): 1.856 eV per atom
mass density: 5.60 g/cm³
energy relative to the lowest polymorph listed for this composition: 0.000 eV/atom

```
Te3C4
1.0
3.458 0.000 0.000
0.000 3.458 0.000
-1.729 -1.729 10.687
C Te
4 3
direct
0.791 0.791 0.582
0.209 0.209 0.418
0.531 0.531 0.063
0.469 0.469 0.937
0.000 0.000 0.000
0.690 0.690 0.381
0.310 0.310 0.619
```



(19)
A plane-wave DFT calculation with meta-GGA SCAN was carried out for TeC at its PBEsol-relaxed geometry.

ΔE_f (raw): 1.931 eV per atom
mass density: 7.13 g/cm³
energy relative to the lowest polymorph listed for this composition: 0.399 eV/atom

```
TeC
1.0
-2.121 2.330 1.080
-1.239 -3.278 4.639
4.351 3.850 0.239
C Te
3 3
direct
0.500 0.000 0.382
0.500 0.382 0.000
0.500 0.618 0.618
0.500 0.000 0.000
0.000 0.333 0.667
0.000 0.667 0.333
```



(20)
A plane-wave DFT calculation with meta-GGA SCAN was carried out for Te2C at its PBEsol-relaxed geometry.

ΔE_f (raw): 1.266 eV per atom
mass density: 7.22 g/cm³
energy relative to the lowest polymorph listed for this composition: 0.000 eV/atom

```
Te2C
1.0
4.671 0.000 0.000
0.000 4.671 0.000
0.000 0.000 5.634
C Te
2 4
direct
0.500 0.000 0.886
0.000 0.500 0.114
0.000 0.000 0.000
0.500 0.500 0.000
0.500 0.000 0.496
0.000 0.500 0.504
```



(21)
A plane-wave DFT calculation with meta-GGA SCAN was carried out for TeC2 at its PBEsol-relaxed geometry.

ΔE_f (raw): 2.876 eV per atom
mass density: 6.55 g/cm³
energy relative to the lowest polymorph listed for this composition: 1.256 eV/atom

```
TeC2
1.0
-1.410 1.361 -2.612
0.871 -0.942 -3.002
-3.134 -2.797 -1.807
C Te
2 1
direct
0.230 0.230 0.310
0.770 0.770 0.690
0.000 0.000 0.000
```



(22)
A plane-wave DFT calculation with meta-GGA SCAN was carried out for YTeC2 at its PBEsol-relaxed geometry.

ΔE_f (raw): 0.897 eV per atom
mass density: 5.72 g/cm³

```
YTeC2
1.0
5.724 0.000 0.000
-2.862 5.126 0.336
0.000 2.872 4.952
Y C Te
2 4 2
direct
0.250 0.500 0.250
0.500 0.000 0.500
0.657 0.750 0.375
0.093 0.750 0.875
0.875 0.250 0.657
0.375 0.250 0.093
0.750 0.500 0.750
0.000 0.000 0.000
```



(23)
A plane-wave DFT calculation with meta-GGA SCAN was carried out for Zn2TeC at its PBEsol-relaxed geometry.

ΔE_f (raw): 1.516 eV per atom
mass density: 6.95 g/cm³

```
Zn2TeC
1.0
-1.314 0.197 -4.304
3.063 -0.154 -3.299
0.308 -3.652 -2.619
Zn Te C
2 1 1
direct
0.250 0.250 0.250
0.750 0.750 0.750
0.500 0.500 0.500
0.000 0.000 0.000
```



(24)
A plane-wave DFT calculation with meta-GGA SCAN was carried out for Th5C at its PBEsol-relaxed geometry.

DFT formation energy: -99 meV/atom
mass density: 12.12 g/cm³

```
Th5C
1.0
3.540 0.000 0.000
1.770 3.066 0.000
1.770 1.022 14.798
C Th
1 5
direct
0.500 0.500 0.500
0.398 0.398 0.806
0.000 0.000 0.000
0.602 0.602 0.194
0.800 0.800 0.601
0.200 0.200 0.399
```



(25)
A plane-wave DFT calculation with meta-GGA SCAN was carried out for ThC2 at its PBEsol-relaxed geometry.

DFT formation energy: -301 meV/atom
mass density: 9.39 g/cm³

```
ThC2
1.0
3.920 -0.004 0.008
1.647 3.558 0.008
1.360 0.868 6.498
C Th
4 2
direct
0.827 0.570 0.552
0.430 0.173 0.948
0.570 0.827 0.052
0.173 0.430 0.448
0.199 0.801 0.750
0.801 0.199 0.250
```



(26)
A plane-wave DFT calculation with meta-GGA SCAN was carried out for Th2C3 at its PBEsol-relaxed geometry.

DFT formation energy: -288 meV/atom
mass density: 10.91 g/cm³

```
Th2C3
1.0
-5.077 -0.368 -5.288
6.056 -3.531 -2.173
-2.598 -3.131 6.109
Th C
8 12
direct
0.404 0.404 0.904
0.500 0.096 0.500
0.000 0.500 0.596
0.096 0.000 0.000
0.500 0.596 0.500
0.904 0.904 0.404
0.000 0.500 0.096
0.596 0.000 0.000
0.208 0.250 0.458
0.292 0.750 0.042
0.458 0.750 0.208
0.042 0.250 0.292
0.750 0.542 0.792
0.250 0.958 0.708
0.250 0.792 0.542
0.750 0.708 0.958
0.958 0.208 0.750
0.542 0.292 0.250
0.708 0.458 0.250
0.792 0.042 0.750
```



(27)
A plane-wave DFT calculation with meta-GGA SCAN was carried out for TiC at its PBEsol-relaxed geometry.

DFT formation energy: -951 meV/atom
mass density: 5.01 g/cm³

```
TiC
1.0
3.039 0.000 0.000
1.519 2.632 0.000
1.519 0.877 2.481
C Ti
1 1
direct
0.500 0.500 0.500
0.000 0.000 0.000
```



(28)
A plane-wave DFT calculation with meta-GGA SCAN was carried out for Ti3TlC at its PBEsol-relaxed geometry.

DFT formation energy: -590 meV/atom
mass density: 8.01 g/cm³

```
Ti3TlC
1.0
4.210 0.000 0.000
0.000 4.210 0.000
0.000 0.000 4.210
Tl C Ti
1 1 3
direct
0.500 0.500 0.500
0.000 0.000 0.000
0.000 0.500 0.000
0.000 0.000 0.500
0.500 0.000 0.000
```



no.,total magnetization (μB/atom),raw total energy (eV for the cell shown)
1,0.000,-637.50
2,0.000,-252.63
3,0.000,-122.41
4,0.000,-300.46
5,0.000,-131.26
6,0.000,-88.57
7,0.000,-79.47
8,0.000,-135.86
9,0.329,-127.85
10,0.000,-160.99
11,0.000,-95.78
12,0.007,-51.60
13,0.000,-49.48
14,0.001,-87.48
15,0.000,-52.59
16,0.000,-43.37
17,0.000,-80.48
18,0.000,-139.16
19,0.000,-130.47
20,0.000,-161.61
21,0.000,-48.82
22,0.000,-163.41
23,0.000,-68.32
24,0.000,-490.29
25,0.000,-234.04
26,0.000,-894.31
27,0.000,-28.03
28,0.144,-133.50